# LiYF3 (PBE, relaxed)
# Formation energy from raw total energies ... -2.97 eV/atom
# Fermi-level density of states ... 1.20 states/eV/f.u.
# Magnetic moment ... 0.000 Bohr magnetons per cell
# E above lowest polymorph ... 0 meV per atom
data_LiYF3
_symmetry_space_group_name_H-M 'P 1'
_symmetry_Int_Tables_number 1
_cell_length_a 4.474
_cell_length_b 4.474
_cell_length_c 4.474
_cell_angle_alpha 90.00
_cell_angle_beta 90.00
_cell_angle_gamma 90.00
loop_
_symmetry_equiv_pos_as_xyz
'x,y,z'
loop_
_atom_site_label
_atom_site_type_symbol
_atom_site_fract_x
_atom_site_fract_y
_atom_site_fract_z
Li1 Li 0.000 0.000 0.000
Y1 Y 0.500 0.500 0.500
F1 F 0.000 0.500 0.500
F2 F 0.500 0.000 0.500
F3 F 0.500 0.500 0.000

***

# LiYF2 (PBE, relaxed)
# Formation energy from raw total energies ... -2.33 eV/atom
# Fermi-level density of states ... 2.26 states/eV/f.u.
# Magnetic moment ... 3.553 Bohr magnetons per cell
# E above lowest polymorph ... 266 meV per atom
data_LiYF2
_symmetry_space_group_name_H-M 'P 1'
_symmetry_Int_Tables_number 1
_cell_length_a 6.207
_cell_length_b 6.207
_cell_length_c 6.207
_cell_angle_alpha 131.36
_cell_angle_beta 131.36
_cell_angle_gamma 71.24
loop_
_symmetry_equiv_pos_as_xyz
'x,y,z'
loop_
_atom_site_label
_atom_site_type_symbol
_atom_site_fract_x
_atom_site_fract_y
_atom_site_fract_z
Li1 Li 0.000 0.000 0.000
Li2 Li 0.750 0.250 0.500
Y1 Y 0.250 0.750 0.500
Y2 Y 0.500 0.500 0.000
F1 F 0.060 0.625 0.935
F2 F 0.375 0.310 0.435
F3 F 0.690 0.125 0.065
F4 F 0.875 0.940 0.565

***

# LiYF2 (PBE, relaxed)
# Formation energy from raw total energies ... -2.42 eV/atom
# Fermi-level density of states ... 1.96 states/eV/f.u.
# Magnetic moment ... 0.000 Bohr magnetons per cell
# E above lowest polymorph ... 169 meV per atom
data_LiYF2
_symmetry_space_group_name_H-M 'P 1'
_symmetry_Int_Tables_number 1
_cell_length_a 7.414
_cell_length_b 7.414
_cell_length_c 7.414
_cell_angle_alpha 124.12
_cell_angle_beta 124.12
_cell_angle_gamma 83.00
loop_
_symmetry_equiv_pos_as_xyz
'x,y,z'
loop_
_atom_site_label
_atom_site_type_symbol
_atom_site_fract_x
_atom_site_fract_y
_atom_site_fract_z
Li1 Li 0.000 0.000 0.000
Li2 Li 0.000 0.000 0.500
Li3 Li 0.000 0.500 0.000
Li4 Li 0.500 0.000 0.500
Y1 Y 0.000 0.500 0.500
Y2 Y 0.500 0.000 0.000
Y3 Y 0.500 0.500 0.000
Y4 Y 0.500 0.500 0.500
F1 F 0.163 0.223 0.560
F2 F 0.163 0.604 0.940
F3 F 0.223 0.163 0.060
F4 F 0.396 0.837 0.560
F5 F 0.604 0.163 0.440
F6 F 0.777 0.837 0.940
F7 F 0.837 0.396 0.060
F8 F 0.837 0.777 0.440

***

Question: formation energy from raw total energies of number 1 (LiYF3)?
Answer: -2.97 eV/atom

***

Question: Among the records above, which one has the lowest formation energy from raw total energies?
Answer: LiYF3

***

Question: formation energy from raw total energies of number 3 (LiYF2)?
Answer: -2.42 eV/atom